Computed, not measured: crystalline Tm2Zn12GaNi3 at its relaxed geometry at the GGA-PBE level of DFT.

Cell: 7.4173 7.4173 7.4173 Å, 71.64 71.64 71.64°
Element x y z (fractional)
Tm1 0.5998 0.5998 0.5998
Tm2 0.4002 0.4002 0.4002
Zn1 0.3032 0.3032 0.8436
Zn2 0.8534 0.8534 0.3677
Zn3 0.3677 0.8534 0.8534
Zn4 0.8436 0.3032 0.3032
Zn5 0.8534 0.3677 0.8534
Zn6 0.3032 0.8436 0.3032
Zn7 0.6968 0.6968 0.1564
Zn8 0.1466 0.1466 0.6323
Zn9 0.6323 0.1466 0.1466
Zn10 0.1564 0.6968 0.6968
Zn11 0.1466 0.6323 0.1466
Zn12 0.6968 0.1564 0.6968
Ga1 0.0000 0.0000 0.0000
Ni1 0.5000 0.0000 0.0000
Ni2 0.0000 0.5000 0.0000
Ni3 0.0000 0.0000 0.5000

Its electronic total energy is -0.1669 Ry per atom. As for the energy of formation from the pure elements: 207.7 meV/atom. The value obtained for the density of states at the Fermi level is 9.97 states/eV/f.u. Its size of the total moment is 0.00 μB per formula unit. As for the space group: R-3m.